# CaUTl2S4 (PBE-GGA, optimized geometry)
data_CaUTl2S4
_chemical_formula_sum 'Ca1 U1 Tl2 S4'
_cell_length_a 7.046
_cell_length_b 4.088
_cell_length_c 7.847
_cell_angle_alpha 90.00
_cell_angle_beta 107.36
_cell_angle_gamma 90.00
_space_group_name_H-M_alt 'P 1 2/m 1'
_space_group_IT_number 10
loop_
_space_group_symop_operation_xyz
'x,y,z'
'-x,-y,-z'
'-x,y,-z'
'x,-y,z'
loop_
_atom_site_label
_atom_site_type_symbol
_atom_site_fract_x
_atom_site_fract_y
_atom_site_fract_z
_atom_site_occupancy
Ca1 Ca 0.000 0.000 0.000 1
U1 U 0.500 0.500 0.000 1
Tl1 Tl 0.000 0.500 0.500 1
Tl2 Tl 0.500 0.000 0.500 1
S1 S 0.251 0.500 0.198 1
S2 S 0.282 0.000 0.803 1
# - V (Å³/cell) = 215.7
# - E_tot (eV per formula unit) = -44.23
# - raw formation energy (eV/atom) = -1.2121